The following is a DFT calculation (PBEsol) of a relaxed structure of Al2PRu.

Summary:
**DFT total energy**: -50.907 eV per cell
**ΔE_f**: -327 meV/atom

Cell: 8.5490 2.9544 4.3905 Å, 90.00 97.23 90.00°
Space group Cm (No. 8)
Inequivalent atoms, fractional coordinates:
Al (0.0000, 0.0000, 0.0000) [2 per cell]
Al (0.2363, 0.0000, 0.7208) [2 per cell]
P (0.2604, 0.5000, 0.2476) [2 per cell]
Ru (0.4900, 0.0000, 0.4895) [2 per cell]